Entry 1:
The following is a DFT calculation (PBE-GGA) of a relaxed structure of Zr2Te4Cl2O11.

a b c (Å): 7.937 10.232 10.729
angles (deg): 113.89 110.35 95.18
Space group P-1 (No. 2)
Unique sites:
Zr (0.113, 0.389, 0.383) [2 per cell]
Zr (0.376, 0.108, 0.109) [2 per cell]
Te (0.011, 0.757, 0.004) [2 per cell]
Te (0.185, 0.000, 0.728) [2 per cell]
Te (0.284, 0.534, 0.804) [2 per cell]
Te (0.453, 0.737, 0.461) [2 per cell]
Cl (0.124, 0.902, 0.381) [2 per cell]
Cl (0.366, 0.607, 0.103) [2 per cell]
O (0.034, 0.812, 0.653) [2 per cell]
O (0.097, 0.641, 0.838) [2 per cell]
O (0.130, 0.515, 0.606) [2 per cell]
O (0.146, 0.106, 0.911) [2 per cell]
O (0.172, 0.246, 0.175) [2 per cell]
O (0.201, 0.924, 0.074) [2 per cell]
O (0.253, 0.574, 0.390) [2 per cell]
O (0.356, 0.361, 0.518) [2 per cell]
O (0.391, 0.987, 0.885) [2 per cell]
O (0.476, 0.694, 0.864) [2 per cell]
O (0.485, 0.833, 0.663) [2 per cell]

Calculated values
Formation energy from raw total energies, eV per atom: -1.7390
Total magnetization, μB/f.u.: 0.00

Entry 2:
The following is a DFT calculation (PBE-GGA) of a relaxed structure of ThClO.

a b c (Å): 7.019 4.053 10.614
angles (deg): 90.00 93.05 90.00
Space group C2/m (No. 12)
Unique sites:
Th (0.156, 0.000, 0.368) [4 per cell]
Cl (0.025, 0.500, 0.808) [4 per cell]
O (0.174, 0.000, 0.591) [4 per cell]

Calculated values
Formation energy from raw total energies, eV per atom: -2.8423
Total magnetization, μB/f.u.: 0.00

Entry 3:
The following is a DFT calculation (PBE-GGA) of a relaxed structure of ThClO.

a b c (Å): 9.634 4.100 6.885
angles (deg): 90.00 90.00 90.00
Space group Pnma (No. 62)
Unique sites:
Th (0.099, 0.250, 0.171) [4 per cell]
Cl (0.127, 0.750, 0.503) [4 per cell]
O (0.093, 0.750, 0.021) [4 per cell]

Calculated values
Formation energy from raw total energies, eV per atom: -2.5191
Total magnetization, μB/f.u.: 0.00